Entry P
A plane-wave DFT calculation with GGA-PBE was carried out for crystalline ZnPOsS2 at its relaxed geometry.

abc: 4.7767 4.7767 4.4707
angles: 90.00 90.00 90.00
Space group P4/mmm (No. 123)
Symmetry-distinct sites (fractional):
Zn: 0.0000 0.0000 0.0000 x1
P: 0.5000 0.5000 0.0000 x1
Os: 0.5000 0.5000 0.5000 x1
S: 0.0000 0.5000 0.5000 x2


Entry Q
A plane-wave DFT calculation with GGA-PBE was carried out for crystalline ZnPOsS2 at its relaxed geometry.

abc: 4.4888 4.4888 4.4194
angles: 90.00 90.00 90.00
Space group P4/mmm (No. 123)
Symmetry-distinct sites (fractional):
Zn: 0.0000 0.0000 0.0000 x1
P: 0.0000 0.0000 0.5000 x1
Os: 0.5000 0.5000 0.5000 x1
S: 0.0000 0.5000 0.0000 x2


Pick the least stable structure from those above. Pick: entry Q